This record from Alexandria describes a relaxed structure of AlRuPb. The functional is PBE.

- V (Å³/atom) = 19.18
- total magnetic moment (μB/atom) = 0.000
- energy relative to the elements (eV/atom) = 0.2097

Cell lengths 4.3368, 4.3368, 3.5325 Å; angles 90.00, 90.00, 120.00 degrees
Space group P-6m2 (No. 187)
Symmetry-distinct sites (fractional):
1 Al 0.0000 0.0000 0.0000 x1
2 Ru 0.3333 0.6667 0.0000 x1
3 Pb 0.6667 0.3333 0.5000 x1

=====

This record from Alexandria describes a relaxed structure of Rb2AgPb2. The functional is PBE.

- V (Å³/atom) = 43.65
- relative energy among the computed polymorphs (meV per atom) = 136.0
- total magnetic moment (μB/atom) = 0.000
- energy relative to the elements (eV/atom) = 0.0630

Cell lengths 4.489, 4.489, 21.666 Å; angles 90.00, 90.00, 90.00 degrees
Space group I4/mmm (No. 139)
Symmetry-distinct sites (fractional):
1 Rb 0.000 0.000 0.096 x4
2 Ag 0.000 0.000 0.500 x2
3 Pb 0.000 0.500 0.250 x4

=====

This record from Alexandria describes a relaxed structure of YTiPb2. The functional is PBE.

- V (Å³/atom) = 24.89
- total magnetic moment (μB/atom) = 0.210
- energy relative to the elements (eV/atom) = -0.0989

Cell lengths 4.764, 4.764, 4.386 Å; angles 90.00, 90.00, 90.00 degrees
Space group P4/mmm (No. 123)
Symmetry-distinct sites (fractional):
1 Y 0.000 0.000 0.000 x1
2 Ti 0.500 0.500 0.000 x1
3 Pb 0.000 0.500 0.500 x2

=====

This record from Alexandria describes a relaxed structure of PuTiNbAl. The functional is PBE.

- V (Å³/atom) = 18.56
- total magnetic moment (μB/atom) = 1.522
- energy relative to the elements (eV/atom) = -0.0419

Cell lengths 6.671, 6.671, 6.671 Å; angles 90.00, 90.00, 90.00 degrees
Space group F-43m (No. 216)
Symmetry-distinct sites (fractional):
1 Pu 0.000 0.000 0.000 x4
2 Ti 0.250 0.250 0.250 x4
3 Nb 0.250 0.250 0.750 x4
4 Al 0.000 0.000 0.500 x4

=====

This record from Alexandria describes a relaxed structure of DyMg4Pd2. The functional is PBE.

- V (Å³/atom) = 20.98
- total magnetic moment (μB/atom) = 0.000
- energy relative to the elements (eV/atom) = -0.5020

Cell lengths 8.695, 8.695, 3.885 Å; angles 90.00, 90.00, 90.00 degrees
Space group P4_2/mnm (No. 136)
Symmetry-distinct sites (fractional):
1 Dy 0.000 0.000 0.000 x2
2 Mg 0.094 0.332 0.500 x8
3 Pd 0.183 0.817 0.500 x4

=====

This record from Alexandria describes a relaxed structure of LaNdDy3Er. The functional is PBE.

- V (Å³/atom) = 33.28
- total magnetic moment (μB/atom) = 0.000
- energy relative to the elements (eV/atom) = 0.1898

Cell lengths 19.856, 5.676, 7.088 Å; angles 90.00, 90.54, 90.00 degrees
Space group C2/m (No. 12)
Symmetry-distinct sites (fractional):
1 La 0.146 0.000 0.030 x4
2 Nd 0.053 0.500 0.268 x4
3 Dy 0.023 0.000 0.737 x4
4 Dy 0.165 0.500 0.729 x4
5 Dy 0.220 0.500 0.245 x4
6 Er 0.150 0.000 0.461 x4

=====

This record from Alexandria describes a relaxed structure of La2TbPm6Pr. The functional is PBE.

- V (Å³/atom) = 35.11
- total magnetic moment (μB/atom) = 0.000
- energy relative to the elements (eV/atom) = 0.1105

Cell lengths 9.218, 15.291, 10.115 Å; angles 90.00, 99.90, 90.00 degrees
Space group C2/c (No. 15)
Symmetry-distinct sites (fractional):
1 La 0.241 0.048 0.041 x8
2 Tb 0.000 0.405 0.250 x4
3 Pm 0.072 0.191 0.444 x8
4 Pm 0.097 0.396 0.620 x8
5 Pm 0.202 0.221 0.811 x8
6 Pr 0.000 0.012 0.750 x4

=====

This record from Alexandria describes a relaxed structure of YFeRe2. The functional is PBE.

- V (Å³/atom) = 16.96
- relative energy among the computed polymorphs (meV per atom) = 325.5
- total magnetic moment (μB/atom) = 0.568
- energy relative to the elements (eV/atom) = 0.5031

Cell lengths 3.799, 3.799, 4.701 Å; angles 90.00, 90.00, 90.00 degrees
Space group P4/mmm (No. 123)
Symmetry-distinct sites (fractional):
1 Y 0.000 0.000 0.000 x1
2 Fe 0.500 0.500 0.000 x1
3 Re 0.000 0.500 0.500 x2

=====

Which formula does entry 3 have?
YTiPb2

=====

energy relative to the elements of number 5 (DyMg4Pd2)?
-0.5020 eV/atom

=====

What is the formula in the fourth record?
PuTiNbAl